Ag4Pb: PBEsol geometry, SCAN.

Cell: 6.619 6.619 4.226 Å, 90.00 90.00 90.00°
Space group I4/m (No. 87)
Inequivalent atoms, fractional coordinates:
Ag (0.096, 0.307, 0.000) x8
Pb (0.000, 0.000, 0.500) x2

Summary:
calculated formation energy = 0.089 eV per atom